Record 1
AlSbW4 | PBE | optimized geometry Values from VASP.

Cell and atoms, written as Quantum ESPRESSO input:
```
&SYSTEM
  ibrav = 0, nat = 6, ntyp = 3
/
ATOMIC_SPECIES
Al 26.98 Al.upf
Sb 121.76 Sb.upf
W 183.84 W.upf
ATOMIC_POSITIONS angstrom
Al 5.6734 5.6734 5.6734
Sb 0.0000 0.0000 0.0000
W 2.8415 4.7230 4.7230
W 4.7230 4.7230 2.8415
W 4.7230 2.8415 4.7230
W 2.8415 2.8415 2.8415
CELL_PARAMETERS angstrom
0.0000 3.7823 3.7823
3.7823 0.0000 3.7823
3.7823 3.7823 0.0000
```

Computed properties:
* formation energy without anion corrections: 3.59 eV per formula unit
* uncorrected energy: -9.35 eV per atom
* space-group type: F-43m, No. 216



Record 2
Ti8C2O | PBE | optimized geometry Values from VASP.

Cell and atoms, written as Quantum ESPRESSO input:
```
&SYSTEM
  ibrav = 0, nat = 11, ntyp = 3
/
ATOMIC_SPECIES
Ti 47.87 Ti.upf
C 12.01 C.upf
O 16.00 O.upf
ATOMIC_POSITIONS angstrom
Ti 3.4666 5.0290 3.5508
Ti 1.1427 3.8609 1.8249
Ti 3.2708 4.6021 6.4585
Ti 1.1967 0.9520 1.3661
Ti 3.3247 1.6931 5.9996
Ti 1.0009 0.5250 4.2738
Ti 1.0948 3.4081 4.7059
Ti 3.3726 2.1460 3.1186
C 3.3371 3.4003 4.8253
C 1.1304 2.1537 2.9993
O 0.0000 0.0000 0.0000
CELL_PARAMETERS angstrom
4.5037 -0.0736 0.1606
0.1041 5.6882 1.7219
-0.1403 -0.0606 5.9421
```

Computed properties:
* formation energy without anion corrections: -8.84 eV per formula unit
* uncorrected energy: -8.67 eV per atom
* space-group type: C2/m, No. 12